A plane-wave DFT calculation with PBE was carried out for crystalline PrHg6Bi2 at its relaxed geometry.

Magnetization = 0.000 μB/f.u.
DFT total energy = -1.76 eV/atom

a = 8.7415 Å, b = 5.0680 Å, c = 12.1239 Å
α = 90.00°, β = 90.02°, γ = 90.00°
Last column: nearest neighbours and their distance in Å.
Space group C2/m (No. 12)
One atom of each set of equivalent atoms:
Pr  0.0000  0.0000  0.0000 (multiplicity 2)  6 Hg 3.23
Hg  0.0001  0.0000  0.3362 (multiplicity 4)  3 Hg 3.18-3.19, 3 Bi 3.41-3.42
Hg  0.1665  0.5000  0.1140 (multiplicity 4)  3 Bi 3.06, 3 Pr 3.23
Hg  0.1657  0.5000  0.4410 (multiplicity 4)  6 Hg 3.18-3.26
Bi  0.1673  0.5000  0.8106 (multiplicity 4)  6 Hg 3.06-3.42